[1]
DFT (meta-GGA SCAN) results for a PBEsol-optimized structure of Ba4ReTe.

```
data_Ba4ReTe
_symmetry_space_group_name_H-M 'F -4 3 m'
_symmetry_Int_Tables_number 216
_symmetry_space_group_name_Hall 'F -4 2 3'
_cell_length_a 9.5320
_cell_length_b 9.5320
_cell_length_c 9.5320
_cell_angle_alpha 90.00
_cell_angle_beta 90.00
_cell_angle_gamma 90.00
loop_
_atom_site_label
_atom_site_type_symbol
_atom_site_fract_x
_atom_site_fract_y
_atom_site_fract_z
_atom_site_occupancy
Ba1 Ba 0.1246 0.1246 0.1246 1
Re1 Re 0.2500 0.2500 0.7500 1
Te1 Te 0.0000 0.0000 0.5000 1
```

E_form (uncorrected) in eV per atom: 0.920

---

[2]
DFT (meta-GGA SCAN) results for a PBEsol-optimized structure of ZrTaOs.

```
data_ZrTaOs
_symmetry_space_group_name_H-M 'I 4 m m'
_symmetry_Int_Tables_number 107
_symmetry_space_group_name_Hall 'I 4 -2'
_cell_length_a 3.1915
_cell_length_b 3.1915
_cell_length_c 10.2509
_cell_angle_alpha 90.00
_cell_angle_beta 90.00
_cell_angle_gamma 90.00
loop_
_atom_site_label
_atom_site_type_symbol
_atom_site_fract_x
_atom_site_fract_y
_atom_site_fract_z
_atom_site_occupancy
Zr1 Zr 0.0000 0.0000 0.0000 1
Ta1 Ta 0.0000 0.0000 0.3155 1
Os1 Os 0.0000 0.0000 0.6673 1
```

Energy relative to the lowest polymorph listed for this composition in eV/f.u.: 0.00

---

[3]
DFT (meta-GGA SCAN) results for a PBEsol-optimized structure of SrInFe2.

```
data_SrInFe2
_symmetry_space_group_name_H-M 'P 4 m m'
_symmetry_Int_Tables_number 99
_cell_length_a 3.1950
_cell_length_b 3.1950
_cell_length_c 7.5405
_cell_angle_alpha 90.00
_cell_angle_beta 90.00
_cell_angle_gamma 90.00
loop_
_symmetry_equiv_pos_as_xyz
'x,y,z'
'-y,x,z'
'-x,-y,z'
'y,-x,z'
'-x,y,z'
'y,x,z'
'x,-y,z'
'-y,-x,z'
loop_
_atom_site_label
_atom_site_type_symbol
_atom_site_fract_x
_atom_site_fract_y
_atom_site_fract_z
_atom_site_occupancy
Sr1 Sr 0.0000 0.0000 0.0000 1
In1 In 0.5000 0.5000 0.6559 1
Fe1 Fe 0.0000 0.0000 0.4236 1
Fe2 Fe 0.5000 0.5000 0.3010 1
```

E_tot in eV/atom: -22.7964

---

[4]
DFT (meta-GGA SCAN) results for a PBEsol-optimized structure of Bi2BIrC.

```
data_Bi2BIrC
_symmetry_space_group_name_H-M 'P 4/m m m'
_symmetry_Int_Tables_number 123
_symmetry_space_group_name_Hall '-P 4 2'
_cell_length_a 5.4258
_cell_length_b 5.4258
_cell_length_c 3.7102
_cell_angle_alpha 90.00
_cell_angle_beta 90.00
_cell_angle_gamma 90.00
loop_
_atom_site_label
_atom_site_type_symbol
_atom_site_fract_x
_atom_site_fract_y
_atom_site_fract_z
_atom_site_occupancy
Bi1 Bi 0.0000 0.5000 0.0000 1
B1 B 0.0000 0.0000 0.5000 1
Ir1 Ir 0.5000 0.5000 0.0000 1
C1 C 0.5000 0.5000 0.5000 1
```

E_tot in eV/atom: -47.7585

---

[5]
DFT (meta-GGA SCAN) results for a PBEsol-optimized structure of IrI2Cl.

```
data_IrI2Cl
_symmetry_space_group_name_H-M 'F m -3 m'
_symmetry_Int_Tables_number 225
_symmetry_space_group_name_Hall '-F 4 2 3'
_cell_length_a 6.9479
_cell_length_b 6.9479
_cell_length_c 6.9479
_cell_angle_alpha 90.00
_cell_angle_beta 90.00
_cell_angle_gamma 90.00
loop_
_atom_site_label
_atom_site_type_symbol
_atom_site_fract_x
_atom_site_fract_y
_atom_site_fract_z
_atom_site_occupancy
Ir1 Ir 0.0000 0.0000 0.0000 1
I1 I 0.2500 0.2500 0.2500 1
Cl1 Cl 0.0000 0.0000 0.5000 1
```

E_form (uncorrected) in eV per atom: 0.927

---

[6]
DFT (meta-GGA SCAN) results for a PBEsol-optimized structure of InGe3Rh.

```
data_InGe3Rh
_symmetry_space_group_name_H-M 'P m -3 m'
_symmetry_Int_Tables_number 221
_symmetry_space_group_name_Hall '-P 4 2 3'
_cell_length_a 4.7688
_cell_length_b 4.7688
_cell_length_c 4.7688
_cell_angle_alpha 90.00
_cell_angle_beta 90.00
_cell_angle_gamma 90.00
loop_
_atom_site_label
_atom_site_type_symbol
_atom_site_fract_x
_atom_site_fract_y
_atom_site_fract_z
_atom_site_occupancy
In1 In 0.0000 0.0000 0.0000 1
Ge1 Ge 0.0000 0.5000 0.5000 1
Rh1 Rh 0.5000 0.5000 0.5000 1
```

E_tot in eV/atom: -24.7264

---

[7]
DFT (meta-GGA SCAN) results for a PBEsol-optimized structure of LaZn3Ni.

```
data_LaZn3Ni
_symmetry_space_group_name_H-M 'P m -3 m'
_symmetry_Int_Tables_number 221
_symmetry_space_group_name_Hall '-P 4 2 3'
_cell_length_a 4.5449
_cell_length_b 4.5449
_cell_length_c 4.5449
_cell_angle_alpha 90.00
_cell_angle_beta 90.00
_cell_angle_gamma 90.00
loop_
_atom_site_label
_atom_site_type_symbol
_atom_site_fract_x
_atom_site_fract_y
_atom_site_fract_z
_atom_site_occupancy
La1 La 0.0000 0.0000 0.0000 1
Zn1 Zn 0.0000 0.5000 0.5000 1
Ni1 Ni 0.5000 0.5000 0.5000 1
```

E_tot in eV/atom: -20.2735

---

[8]
DFT (meta-GGA SCAN) results for a PBEsol-optimized structure of Ba3CaIr2O9.

```
data_Ba3CaIr2O9
_symmetry_space_group_name_H-M 'P -3 m 1'
_symmetry_Int_Tables_number 164
_symmetry_space_group_name_Hall '-P 3 2"'
_cell_length_a 5.8090
_cell_length_b 5.8090
_cell_length_c 7.1350
_cell_angle_alpha 90.00
_cell_angle_beta 90.00
_cell_angle_gamma 120.00
loop_
_atom_site_label
_atom_site_type_symbol
_atom_site_fract_x
_atom_site_fract_y
_atom_site_fract_z
_atom_site_occupancy
Ba1 Ba 0.0000 0.0000 0.0000 1
Ba2 Ba 0.3333 0.6667 0.6634 1
Ca1 Ca 0.0000 0.0000 0.5000 1
Ir1 Ir 0.3333 0.6667 0.1564 1
O1 O 0.0000 0.5000 0.0000 1
O2 O 0.1783 0.3566 0.3145 1
```

Energy relative to the lowest polymorph listed for this composition in eV/f.u.: 0.00
E_form (uncorrected) in eV per atom: -2.182